Density functional theory data (PBE) for a relaxed Li3NpZn2O6 crystal.

Geometry as CIF:
```
data_Li3NpZn2O6
_space_group_name_H-M_alt 'C 1 2/m 1'
_space_group_IT_number 12
_cell_length_a 5.3066
_cell_length_b 9.4953
_cell_length_c 5.2725
_cell_angle_alpha 90.00
_cell_angle_beta 106.91
_cell_angle_gamma 90.00
loop_
_space_group_symop_operation_xyz
'x,y,z'
'-x,-y,-z'
'-x,y,-z'
'x,-y,z'
'x+1/2,y+1/2,z'
'-x+1/2,-y+1/2,-z'
'-x+1/2,y+1/2,-z'
'x+1/2,-y+1/2,z'
loop_
_atom_site_label
_atom_site_fract_x
_atom_site_fract_y
_atom_site_fract_z
Li1 0.0000 0.0000 0.0000
Li2 0.0000 0.3077 0.0000
Np1 0.0000 0.5000 0.5000
Zn1 0.0000 0.1690 0.5000
O1 0.2439 0.0000 0.7357
O2 0.2439 0.3342 0.7422
```

E_tot: -6.28 eV per atom
density: 6.33 g/cm3



Density functional theory data (PBE) for a relaxed Nb2CoCl crystal.

Geometry as CIF:
```
data_Nb2CoCl
_space_group_name_H-M_alt 'F m -3 m'
_space_group_IT_number 225
_space_group_name_Hall '-F 4 2 3'
_cell_length_a 6.2414
_cell_length_b 6.2414
_cell_length_c 6.2414
_cell_angle_alpha 90.00
_cell_angle_beta 90.00
_cell_angle_gamma 90.00
loop_
_atom_site_label
_atom_site_fract_x
_atom_site_fract_y
_atom_site_fract_z
Nb1 0.2500 0.2500 0.2500
Co1 0.0000 0.0000 0.0000
Cl1 0.0000 0.0000 0.5000
```

energy above the lowest structure with this stoichiometry: 0 meV per atom
density: 7.65 g/cm3



Density functional theory data (PBE) for a relaxed AlMo3Pb crystal.

Geometry as CIF:
```
data_AlMo3Pb
_space_group_name_H-M_alt 'P m -3 m'
_space_group_IT_number 221
_space_group_name_Hall '-P 4 2 3'
_cell_length_a 4.6187
_cell_length_b 4.6187
_cell_length_c 4.6187
_cell_angle_alpha 90.00
_cell_angle_beta 90.00
_cell_angle_gamma 90.00
loop_
_atom_site_label
_atom_site_fract_x
_atom_site_fract_y
_atom_site_fract_z
Al1 0.0000 0.0000 0.0000
Mo1 0.0000 0.0000 0.5000
Pb1 0.5000 0.5000 0.5000
```

formation energy: 1376 meV/atom
energy above the lowest structure with this stoichiometry: 0 meV per atom
density: 8.80 g/cm3



Density functional theory data (PBE) for a relaxed PrNd2DyTl2 crystal.

Geometry as CIF:
```
data_PrNd2DyTl2
_space_group_name_H-M_alt 'P m c 21'
_space_group_IT_number 26
_cell_length_a 5.2342
_cell_length_b 10.2740
_cell_length_c 6.9664
_cell_angle_alpha 90.00
_cell_angle_beta 90.00
_cell_angle_gamma 90.00
loop_
_space_group_symop_operation_xyz
'x,y,z'
'-x,-y,z+1/2'
'-x,y,z'
'x,-y,z+1/2'
loop_
_atom_site_label
_atom_site_fract_x
_atom_site_fract_y
_atom_site_fract_z
Pr1 0.0000 0.0445 0.0000
Nd1 0.0000 0.3179 0.3723
Nd2 0.5000 0.4536 0.0962
Dy1 0.5000 0.1882 0.7199
Tl1 0.0000 0.3587 0.8373
Tl2 0.5000 0.1293 0.2637
```

formation energy: -270 meV/atom
density: 8.87 g/cm3



Density functional theory data (PBE) for a relaxed SrMg2Co crystal.

Geometry as CIF:
```
data_SrMg2Co
_space_group_name_H-M_alt 'I -4 2 d'
_space_group_IT_number 122
_space_group_name_Hall 'I -4 2bw'
_cell_length_a 5.3283
_cell_length_b 5.3283
_cell_length_c 17.3943
_cell_angle_alpha 90.00
_cell_angle_beta 90.00
_cell_angle_gamma 90.00
loop_
_atom_site_label
_atom_site_fract_x
_atom_site_fract_y
_atom_site_fract_z
Sr1 0.0000 0.0000 0.0000
Mg1 0.0165 0.2500 0.6250
Co1 0.0000 0.0000 0.5000
```

formation energy: 536 meV/atom
density: 2.62 g/cm3



Density functional theory data (PBE) for a relaxed CaErInPb crystal.

Geometry as CIF:
```
data_CaErInPb
_space_group_name_H-M_alt 'F -4 3 m'
_space_group_IT_number 216
_space_group_name_Hall 'F -4 2 3'
_cell_length_a 7.6714
_cell_length_b 7.6714
_cell_length_c 7.6714
_cell_angle_alpha 90.00
_cell_angle_beta 90.00
_cell_angle_gamma 90.00
loop_
_atom_site_label
_atom_site_fract_x
_atom_site_fract_y
_atom_site_fract_z
Ca1 0.0000 0.0000 0.0000
Er1 0.0000 0.0000 0.5000
In1 0.2500 0.2500 0.2500
Pb1 0.2500 0.2500 0.7500
```

formation energy: -406 meV/atom
density: 7.79 g/cm3



Density functional theory data (PBE) for a relaxed Ba2SrAuN crystal.

Geometry as CIF:
```
data_Ba2SrAuN
_space_group_name_H-M_alt 'P 4/m m m'
_space_group_IT_number 123
_space_group_name_Hall '-P 4 2'
_cell_length_a 5.5978
_cell_length_b 5.5978
_cell_length_c 5.1600
_cell_angle_alpha 90.00
_cell_angle_beta 90.00
_cell_angle_gamma 90.00
loop_
_atom_site_label
_atom_site_fract_x
_atom_site_fract_y
_atom_site_fract_z
Ba1 0.0000 0.5000 0.0000
Sr1 0.0000 0.0000 0.5000
Au1 0.5000 0.5000 0.5000
N1 0.0000 0.0000 0.0000
```

E_tot: -3.86 eV per atom
density: 5.89 g/cm3



Density functional theory data (PBE) for a relaxed TbPuRh crystal.

Geometry as CIF:
```
data_TbPuRh
_space_group_name_H-M_alt 'I 4 m m'
_space_group_IT_number 107
_space_group_name_Hall 'I 4 -2'
_cell_length_a 3.4960
_cell_length_b 3.4960
_cell_length_c 11.7330
_cell_angle_alpha 90.00
_cell_angle_beta 90.00
_cell_angle_gamma 90.00
loop_
_atom_site_label
_atom_site_fract_x
_atom_site_fract_y
_atom_site_fract_z
Tb1 0.0000 0.0000 0.0000
Pu1 0.0000 0.0000 0.7220
Rh1 0.0000 0.0000 0.3586
```

formation energy: -347 meV/atom
energy above the lowest structure with this stoichiometry: 105 meV per atom
density: 11.71 g/cm3



Density functional theory data (PBE) for a relaxed PrHoGa crystal.

Geometry as CIF:
```
data_PrHoGa
_space_group_name_H-M_alt 'F -4 3 m'
_space_group_IT_number 216
_space_group_name_Hall 'F -4 2 3'
_cell_length_a 7.1348
_cell_length_b 7.1348
_cell_length_c 7.1348
_cell_angle_alpha 90.00
_cell_angle_beta 90.00
_cell_angle_gamma 90.00
loop_
_atom_site_label
_atom_site_fract_x
_atom_site_fract_y
_atom_site_fract_z
Pr1 0.0000 0.0000 0.0000
Ho1 0.0000 0.0000 0.5000
Ga1 0.2500 0.2500 0.2500
```

formation energy: -229 meV/atom
energy above the lowest structure with this stoichiometry: 173 meV per atom
density: 6.87 g/cm3



Density functional theory data (PBE) for a relaxed LiAcNi2H8 crystal.

Geometry as CIF:
```
data_LiAcNi2H8
_space_group_name_H-M_alt 'R -3'
_space_group_IT_number 148
_space_group_name_Hall '-R 3'
_cell_length_a 4.4460
_cell_length_b 4.4460
_cell_length_c 19.3035
_cell_angle_alpha 90.00
_cell_angle_beta 90.00
_cell_angle_gamma 120.00
loop_
_atom_site_label
_atom_site_fract_x
_atom_site_fract_y
_atom_site_fract_z
Li1 0.0000 0.0000 0.0000
Ac1 0.0000 0.0000 0.5000
Ni1 0.0000 0.0000 0.3331
H1 0.0000 0.0000 0.1505
H2 0.0023 0.3894 0.0461
```

E_tot: -4.02 eV per atom
density: 5.42 g/cm3



Density functional theory data (PBE) for a relaxed Cr3Mo2C4 crystal.

Geometry as CIF:
```
data_Cr3Mo2C4
_space_group_name_H-M_alt 'R 3 m'
_space_group_IT_number 160
_space_group_name_Hall 'R 3 -2"'
_cell_length_a 2.9891
_cell_length_b 2.9891
_cell_length_c 35.0081
_cell_angle_alpha 90.00
_cell_angle_beta 90.00
_cell_angle_gamma 120.00
loop_
_atom_site_label
_atom_site_fract_x
_atom_site_fract_y
_atom_site_fract_z
Cr1 0.0000 0.0000 0.0000
Cr2 0.0000 0.0000 0.2086
Cr3 0.0000 0.0000 0.6017
Mo1 0.0000 0.0000 0.4047
Mo2 0.0000 0.0000 0.8097
C1 0.0000 0.0000 0.1102
C2 0.0000 0.0000 0.3010
C3 0.0000 0.0000 0.7012
C4 0.0000 0.0000 0.9004
```

formation energy: 92 meV/atom
density: 7.28 g/cm3



Density functional theory data (PBE) for a relaxed CdF crystal.

Geometry as CIF:
```
data_CdF
_space_group_name_H-M_alt 'F d d d'
_space_group_IT_number 70
_cell_length_a 6.3428
_cell_length_b 9.4654
_cell_length_c 9.7240
_cell_angle_alpha 90.00
_cell_angle_beta 90.00
_cell_angle_gamma 90.00
loop_
_space_group_symop_operation_xyz
'x,y,z'
'-x,-y,-z'
'-x+1/4,-y+1/4,z'
'x+1/4,y+1/4,-z'
'x,-y+1/4,-z+1/4'
'-x,y+1/4,z+1/4'
'-x+1/4,y,-z+1/4'
'x+1/4,-y,z+1/4'
'x,y+1/2,z+1/2'
'-x,-y+1/2,-z+1/2'
'-x+1/4,-y+3/4,z+1/2'
'x+1/4,y+3/4,-z+1/2'
'x,-y+3/4,-z+3/4'
'-x,y+3/4,z+3/4'
'-x+1/4,y+1/2,-z+3/4'
'x+1/4,-y+1/2,z+3/4'
'x+1/2,y,z+1/2'
'-x+1/2,-y,-z+1/2'
'-x+3/4,-y+1/4,z+1/2'
'x+3/4,y+1/4,-z+1/2'
'x+1/2,-y+1/4,-z+3/4'
'-x+1/2,y+1/4,z+3/4'
'-x+3/4,y,-z+3/4'
'x+3/4,-y,z+3/4'
'x+1/2,y+1/2,z'
'-x+1/2,-y+1/2,-z'
'-x+3/4,-y+3/4,z'
'x+3/4,y+3/4,-z'
'x+1/2,-y+3/4,-z+1/4'
'-x+1/2,y+3/4,z+1/4'
'-x+3/4,y+1/2,-z+1/4'
'x+3/4,-y+1/2,z+1/4'
loop_
_atom_site_label
_atom_site_fract_x
_atom_site_fract_y
_atom_site_fract_z
Cd1 0.0868 0.3750 0.3750
F1 0.1250 0.1250 0.4809
```

E_tot: -2.98 eV per atom
density: 5.98 g/cm3



Density functional theory data (PBE) for a relaxed AlCrH3 crystal.

Geometry as CIF:
```
data_AlCrH3
_space_group_name_H-M_alt 'P m -3 m'
_space_group_IT_number 221
_space_group_name_Hall '-P 4 2 3'
_cell_length_a 3.2759
_cell_length_b 3.2759
_cell_length_c 3.2759
_cell_angle_alpha 90.00
_cell_angle_beta 90.00
_cell_angle_gamma 90.00
loop_
_atom_site_label
_atom_site_fract_x
_atom_site_fract_y
_atom_site_fract_z
Al1 0.0000 0.0000 0.0000
Cr1 0.5000 0.5000 0.5000
H1 0.0000 0.5000 0.5000
```

energy above the lowest structure with this stoichiometry: 199 meV per atom
density: 3.87 g/cm3



Density functional theory data (PBE) for a relaxed GaPd6Pt2 crystal.

Geometry as CIF:
```
data_GaPd6Pt2
_space_group_name_H-M_alt 'P 1 21/c 1'
_space_group_IT_number 14
_cell_length_a 7.4844
_cell_length_b 4.7154
_cell_length_c 9.6873
_cell_angle_alpha 90.00
_cell_angle_beta 125.73
_cell_angle_gamma 90.00
loop_
_space_group_symop_operation_xyz
'x,y,z'
'-x,-y,-z'
'-x,y+1/2,-z+1/2'
'x,-y+1/2,z+1/2'
loop_
_atom_site_label
_atom_site_fract_x
_atom_site_fract_y
_atom_site_fract_z
Ga1 0.0000 0.0000 0.0000
Pd1 0.1105 0.0650 0.7845
Pd2 0.2168 0.0396 0.5522
Pd3 0.4476 0.5555 0.6111
Pt1 0.3281 0.5632 0.8267
```

formation energy: -179 meV/atom
energy above the lowest structure with this stoichiometry: 0 meV per atom
density: 13.14 g/cm3



Density functional theory data (PBE) for a relaxed Tb6Dy2Zn crystal.

Geometry as CIF:
```
data_Tb6Dy2Zn
_space_group_name_H-M_alt 'P n n m'
_space_group_IT_number 58
_cell_length_a 9.9528
_cell_length_b 10.1248
_cell_length_c 5.3545
_cell_angle_alpha 90.00
_cell_angle_beta 90.00
_cell_angle_gamma 90.00
loop_
_space_group_symop_operation_xyz
'x,y,z'
'-x,-y,-z'
'-x,-y,z'
'x,y,-z'
'x+1/2,-y+1/2,-z+1/2'
'-x+1/2,y+1/2,z+1/2'
'-x+1/2,y+1/2,-z+1/2'
'x+1/2,-y+1/2,z+1/2'
loop_
_atom_site_label
_atom_site_fract_x
_atom_site_fract_y
_atom_site_fract_z
Tb1 0.0306 0.1868 0.0000
Tb2 0.1278 0.6147 0.5000
Tb3 0.1863 0.9449 0.5000
Dy1 0.2049 0.2710 0.5000
Zn1 0.0000 0.5000 0.0000
```

formation energy: 19 meV/atom
density: 8.27 g/cm3



Density functional theory data (PBE) for a relaxed Pu5Mg12Hg3 crystal.

Geometry as CIF:
```
data_Pu5Mg12Hg3
_space_group_name_H-M_alt 'I a -3 d'
_space_group_IT_number 230
_space_group_name_Hall '-I 4bd 2c 3'
_cell_length_a 17.7748
_cell_length_b 17.7748
_cell_length_c 17.7748
_cell_angle_alpha 90.00
_cell_angle_beta 90.00
_cell_angle_gamma 90.00
loop_
_atom_site_label
_atom_site_fract_x
_atom_site_fract_y
_atom_site_fract_z
Pu1 0.0000 0.0000 0.0000
Pu2 0.0000 0.2500 0.3750
Mg1 0.0054 0.0972 0.6459
Hg1 0.0000 0.2500 0.1250
```

formation energy: 715 meV/atom
density: 5.00 g/cm3



Density functional theory data (PBE) for a relaxed InHg2Pd crystal.

Geometry as CIF:
```
data_InHg2Pd
_space_group_name_H-M_alt 'R -3 m'
_space_group_IT_number 166
_space_group_name_Hall '-R 3 2"'
_cell_length_a 3.1004
_cell_length_b 3.1004
_cell_length_c 33.7412
_cell_angle_alpha 90.00
_cell_angle_beta 90.00
_cell_angle_gamma 120.00
loop_
_atom_site_label
_atom_site_fract_x
_atom_site_fract_y
_atom_site_fract_z
In1 0.0000 0.0000 0.0000
Hg1 0.0000 0.0000 0.4196
Pd1 0.0000 0.0000 0.5000
```

formation energy: 198 meV/atom
density: 11.04 g/cm3



Density functional theory data (PBE) for a relaxed KMo2Au crystal.

Geometry as CIF:
```
data_KMo2Au
_space_group_name_H-M_alt 'I 4/m m m'
_space_group_IT_number 139
_space_group_name_Hall '-I 4 2'
_cell_length_a 3.9118
_cell_length_b 3.9118
_cell_length_c 10.2587
_cell_angle_alpha 90.00
_cell_angle_beta 90.00
_cell_angle_gamma 90.00
loop_
_atom_site_label
_atom_site_fract_x
_atom_site_fract_y
_atom_site_fract_z
K1 0.0000 0.0000 0.0000
Mo1 0.0000 0.5000 0.2500
Au1 0.0000 0.0000 0.5000
```

formation energy: 1268 meV/atom
energy above the lowest structure with this stoichiometry: 759 meV per atom
density: 9.05 g/cm3



Density functional theory data (PBE) for a relaxed CuBiCl4 crystal.

Geometry as CIF:
```
data_CuBiCl4
_space_group_name_H-M_alt 'C 1 2/c 1'
_space_group_IT_number 15
_cell_length_a 7.9843
_cell_length_b 18.4232
_cell_length_c 6.1378
_cell_angle_alpha 90.00
_cell_angle_beta 128.33
_cell_angle_gamma 90.00
loop_
_space_group_symop_operation_xyz
'x,y,z'
'-x,-y,-z'
'-x,y,-z+1/2'
'x,-y,z+1/2'
'x+1/2,y+1/2,z'
'-x+1/2,-y+1/2,-z'
'-x+1/2,y+1/2,-z+1/2'
'x+1/2,-y+1/2,z+1/2'
loop_
_atom_site_label
_atom_site_fract_x
_atom_site_fract_y
_atom_site_fract_z
Cu1 0.0000 0.1269 0.2500
Bi1 0.0000 0.3246 0.7500
Cl1 0.1926 0.1990 0.6864
Cl2 0.2262 0.4219 0.7142
```

energy above the lowest structure with this stoichiometry: 0 meV per atom
density: 3.89 g/cm3



Density functional theory data (PBE) for a relaxed Gd2CoPb crystal.

Geometry as CIF:
```
data_Gd2CoPb
_space_group_name_H-M_alt 'P 4/m m m'
_space_group_IT_number 123
_space_group_name_Hall '-P 4 2'
_cell_length_a 3.4338
_cell_length_b 3.4338
_cell_length_c 8.1831
_cell_angle_alpha 90.00
_cell_angle_beta 90.00
_cell_angle_gamma 90.00
loop_
_atom_site_label
_atom_site_fract_x
_atom_site_fract_y
_atom_site_fract_z
Gd1 0.0000 0.0000 0.2031
Co1 0.5000 0.5000 0.0000
Pb1 0.5000 0.5000 0.5000
```

formation energy: -307 meV/atom
energy above the lowest structure with this stoichiometry: 0 meV per atom
density: 9.99 g/cm3